# 1
First-principles (GGA-PBE) data for a geometry-optimized LiMnGe2 structure, as listed in Alexandria.

Geometry as CIF:
```
data_LiMnGe2
_chemical_formula_sum 'Li1 Mn1 Ge2'
_cell_length_a 4.576
_cell_length_b 4.576
_cell_length_c 2.894
_cell_angle_alpha 90.00
_cell_angle_beta 90.00
_cell_angle_gamma 90.00
_space_group_name_H-M_alt 'P 1'
_space_group_IT_number 1
loop_
_space_group_symop_operation_xyz
'x,y,z'
loop_
_atom_site_label
_atom_site_type_symbol
_atom_site_fract_x
_atom_site_fract_y
_atom_site_fract_z
Li1 Li 0.000 0.000 0.000
Mn1 Mn 0.500 0.500 0.000
Ge1 Ge 0.000 0.500 0.500
Ge2 Ge 0.500 0.000 0.500
```

Calculated values
The calculation puts the excess energy over the best structure of this formula in the dataset at 102 meV/atom. The value obtained for the density of states at the Fermi level is 0.500 states/eV per atom. As for the formation enthalpy at 0 K: -0.023 eV/atom. The space group is P4/mmm.

# 2
First-principles (GGA-PBE) data for a geometry-optimized HfVNi4 structure, as listed in Alexandria.

Geometry as CIF:
```
data_HfVNi4
_chemical_formula_sum 'Hf1 V1 Ni4'
_cell_length_a 4.792
_cell_length_b 4.792
_cell_length_c 4.792
_cell_angle_alpha 60.00
_cell_angle_beta 60.00
_cell_angle_gamma 60.00
_space_group_name_H-M_alt 'P 1'
_space_group_IT_number 1
loop_
_space_group_symop_operation_xyz
'x,y,z'
loop_
_atom_site_label
_atom_site_type_symbol
_atom_site_fract_x
_atom_site_fract_y
_atom_site_fract_z
Hf1 Hf 0.000 0.000 0.000
V1 V 0.750 0.750 0.750
Ni1 Ni 0.376 0.376 0.376
Ni2 Ni 0.376 0.376 0.873
Ni3 Ni 0.376 0.873 0.376
Ni4 Ni 0.873 0.376 0.376
```

Calculated values
The value obtained for the density of states at the Fermi level is 1.377 states/eV per atom. As for the formation enthalpy at 0 K: -0.289 eV/atom. The space group is F-43m.

# 3
First-principles (GGA-PBE) data for a geometry-optimized FeNi2Rh structure, as listed in Alexandria.

Geometry as CIF:
```
data_FeNi2Rh
_chemical_formula_sum 'Fe2 Ni4 Rh2'
_cell_length_a 5.240
_cell_length_b 5.240
_cell_length_c 5.240
_cell_angle_alpha 103.02
_cell_angle_beta 103.02
_cell_angle_gamma 123.33
_space_group_name_H-M_alt 'P 1'
_space_group_IT_number 1
loop_
_space_group_symop_operation_xyz
'x,y,z'
loop_
_atom_site_label
_atom_site_type_symbol
_atom_site_fract_x
_atom_site_fract_y
_atom_site_fract_z
Fe1 Fe 0.000 0.000 0.000
Fe2 Fe 0.750 0.250 0.500
Ni1 Ni 0.106 0.625 0.981
Ni2 Ni 0.375 0.356 0.481
Ni3 Ni 0.644 0.125 0.019
Ni4 Ni 0.875 0.894 0.519
Rh1 Rh 0.250 0.750 0.500
Rh2 Rh 0.500 0.500 0.000
```

Calculated values
The value obtained for the density of states at the Fermi level is 1.158 states/eV per atom. As for the formation enthalpy at 0 K: 0.413 eV/atom. The space group is I-42d.

# 4
First-principles (GGA-PBE) data for a geometry-optimized NaCd2NiSn structure, as listed in Alexandria.

Geometry as CIF:
```
data_NaCd2NiSn
_chemical_formula_sum 'Na1 Cd2 Ni1 Sn1'
_cell_length_a 5.069
_cell_length_b 5.069
_cell_length_c 4.836
_cell_angle_alpha 90.00
_cell_angle_beta 90.00
_cell_angle_gamma 90.00
_space_group_name_H-M_alt 'P 1'
_space_group_IT_number 1
loop_
_space_group_symop_operation_xyz
'x,y,z'
loop_
_atom_site_label
_atom_site_type_symbol
_atom_site_fract_x
_atom_site_fract_y
_atom_site_fract_z
Na1 Na 0.000 0.000 0.000
Cd1 Cd 0.000 0.500 0.500
Cd2 Cd 0.500 0.000 0.500
Ni1 Ni 0.500 0.500 0.500
Sn1 Sn 0.500 0.500 0.000
```

Calculated values
The value obtained for the density of states at the Fermi level is 0.383 states/eV per atom. As for the formation enthalpy at 0 K: -0.060 eV/atom. The space group is P4/mmm.

# 5
First-principles (GGA-PBE) data for a geometry-optimized Na2PaSe4 structure, as listed in Alexandria.

Geometry as CIF:
```
data_Na2PaSe4
_chemical_formula_sum 'Na4 Pa2 Se8'
_cell_length_a 7.296
_cell_length_b 12.648
_cell_length_c 4.329
_cell_angle_alpha 90.00
_cell_angle_beta 90.00
_cell_angle_gamma 90.00
_space_group_name_H-M_alt 'P 1'
_space_group_IT_number 1
loop_
_space_group_symop_operation_xyz
'x,y,z'
loop_
_atom_site_label
_atom_site_type_symbol
_atom_site_fract_x
_atom_site_fract_y
_atom_site_fract_z
Na1 Na 0.093 0.187 0.000
Na2 Na 0.407 0.687 0.000
Na3 Na 0.593 0.313 0.000
Na4 Na 0.907 0.813 0.000
Pa1 Pa 0.000 0.500 0.500
Pa2 Pa 0.500 0.000 0.500
Se1 Se 0.120 0.703 0.500
Se2 Se 0.238 0.457 0.000
Se3 Se 0.262 0.957 0.000
Se4 Se 0.380 0.203 0.500
Se5 Se 0.620 0.797 0.500
Se6 Se 0.738 0.043 0.000
Se7 Se 0.762 0.543 0.000
Se8 Se 0.880 0.297 0.500
```

Calculated values
The calculation puts the excess energy over the best structure of this formula in the dataset at 0 meV/atom. The value obtained for the density of states at the Fermi level is 1.170 states/eV per atom. The formation energy (no corrections) comes out at -104.84 kJ/mol of atoms. The space group is Pbam.

# 6
First-principles (GGA-PBE) data for a geometry-optimized La2TcBr structure, as listed in Alexandria.

Geometry as CIF:
```
data_La2TcBr
_chemical_formula_sum 'La2 Tc1 Br1'
_cell_length_a 8.269
_cell_length_b 8.269
_cell_length_c 8.269
_cell_angle_alpha 29.43
_cell_angle_beta 29.43
_cell_angle_gamma 29.43
_space_group_name_H-M_alt 'P 1'
_space_group_IT_number 1
loop_
_space_group_symop_operation_xyz
'x,y,z'
loop_
_atom_site_label
_atom_site_type_symbol
_atom_site_fract_x
_atom_site_fract_y
_atom_site_fract_z
La1 La 0.233 0.233 0.233
La2 La 0.767 0.767 0.767
Tc1 Tc 0.500 0.500 0.500
Br1 Br 0.000 0.000 0.000
```

Calculated values
The calculation puts the excess energy over the best structure of this formula in the dataset at 147 meV/atom. The value obtained for the density of states at the Fermi level is 1.459 states/eV per atom. The formation energy (no corrections) comes out at -48.79 kJ/mol of atoms. The space group is R-3m.

# 7
First-principles (GGA-PBE) data for a geometry-optimized LiZr4Mn structure, as listed in Alexandria.

Geometry as CIF:
```
data_LiZr4Mn
_chemical_formula_sum 'Li1 Zr4 Mn1'
_cell_length_a 5.787
_cell_length_b 5.787
_cell_length_c 5.787
_cell_angle_alpha 60.00
_cell_angle_beta 60.00
_cell_angle_gamma 60.00
_space_group_name_H-M_alt 'P 1'
_space_group_IT_number 1
loop_
_space_group_symop_operation_xyz
'x,y,z'
loop_
_atom_site_label
_atom_site_type_symbol
_atom_site_fract_x
_atom_site_fract_y
_atom_site_fract_z
Li1 Li 0.000 0.000 0.000
Zr1 Zr 0.376 0.376 0.376
Zr2 Zr 0.376 0.376 0.871
Zr3 Zr 0.376 0.871 0.376
Zr4 Zr 0.871 0.376 0.376
Mn1 Mn 0.750 0.750 0.750
```

Calculated values
The value obtained for the density of states at the Fermi level is 1.134 states/eV per atom. As for the formation enthalpy at 0 K: 0.586 eV/atom. The space group is F-43m.

# 8
First-principles (GGA-PBE) data for a geometry-optimized LaEr6Th structure, as listed in Alexandria.

Geometry as CIF:
```
data_LaEr6Th
_chemical_formula_sum 'La1 Er6 Th1'
_cell_length_a 6.355
_cell_length_b 6.355
_cell_length_c 6.554
_cell_angle_alpha 94.92
_cell_angle_beta 94.92
_cell_angle_gamma 93.88
_space_group_name_H-M_alt 'P 1'
_space_group_IT_number 1
loop_
_space_group_symop_operation_xyz
'x,y,z'
loop_
_atom_site_label
_atom_site_type_symbol
_atom_site_fract_x
_atom_site_fract_y
_atom_site_fract_z
La1 La 0.000 0.000 0.000
Er1 Er 0.153 0.514 0.299
Er2 Er 0.349 0.349 0.803
Er3 Er 0.486 0.847 0.701
Er4 Er 0.514 0.153 0.299
Er5 Er 0.651 0.651 0.197
Er6 Er 0.847 0.486 0.701
Th1 Th 0.000 0.000 0.500
```

Calculated values
The calculation puts the excess energy over the best structure of this formula in the dataset at 127 meV/atom. The value obtained for the density of states at the Fermi level is 1.704 states/eV per atom. As for the formation enthalpy at 0 K: 0.160 eV/atom. The space group is C2/m.

# 9
First-principles (GGA-PBE) data for a geometry-optimized LaTlW2 structure, as listed in Alexandria.

Geometry as CIF:
```
data_LaTlW2
_chemical_formula_sum 'La1 Tl1 W2'
_cell_length_a 2.916
_cell_length_b 4.643
_cell_length_c 6.649
_cell_angle_alpha 90.00
_cell_angle_beta 90.00
_cell_angle_gamma 90.00
_space_group_name_H-M_alt 'P 1'
_space_group_IT_number 1
loop_
_space_group_symop_operation_xyz
'x,y,z'
loop_
_atom_site_label
_atom_site_type_symbol
_atom_site_fract_x
_atom_site_fract_y
_atom_site_fract_z
La1 La 0.000 0.000 0.000
Tl1 Tl 0.000 0.000 0.500
W1 W 0.500 0.500 0.310
W2 W 0.500 0.500 0.690
```

Calculated values
The calculation puts the excess energy over the best structure of this formula in the dataset at 633 meV/atom. The value obtained for the density of states at the Fermi level is 1.029 states/eV per atom. As for the formation enthalpy at 0 K: 0.969 eV/atom. The space group is Pmmm.

# 10
First-principles (GGA-PBE) data for a geometry-optimized K4Ac3BeO8 structure, as listed in Alexandria.

Geometry as CIF:
```
data_K4Ac3BeO8
_chemical_formula_sum 'K4 Ac3 Be1 O8'
_cell_length_a 7.642
_cell_length_b 7.642
_cell_length_c 7.395
_cell_angle_alpha 114.90
_cell_angle_beta 114.90
_cell_angle_gamma 54.60
_space_group_name_H-M_alt 'P 1'
_space_group_IT_number 1
loop_
_space_group_symop_operation_xyz
'x,y,z'
loop_
_atom_site_label
_atom_site_type_symbol
_atom_site_fract_x
_atom_site_fract_y
_atom_site_fract_z
K1 K 0.000 0.000 0.000
K2 K 0.000 0.500 0.000
K3 K 0.500 0.000 0.000
K4 K 0.500 0.500 0.000
Ac1 Ac 0.000 0.000 0.500
Ac2 Ac 0.000 0.500 0.500
Ac3 Ac 0.500 0.000 0.500
Be1 Be 0.500 0.500 0.500
O1 O 0.205 0.205 0.243
O2 O 0.209 0.209 0.696
O3 O 0.281 0.654 0.640
O4 O 0.346 0.719 0.360
O5 O 0.654 0.281 0.640
O6 O 0.719 0.346 0.360
O7 O 0.791 0.791 0.304
O8 O 0.795 0.795 0.757
```

Calculated values
The value obtained for the density of states at the Fermi level is 0.602 states/eV per atom. The formation energy (no corrections) comes out at -205.04 kJ/mol of atoms. The space group is C2/m.

# 11
First-principles (GGA-PBE) data for a geometry-optimized GaNi2Pt structure, as listed in Alexandria.

Geometry as CIF:
```
data_GaNi2Pt
_chemical_formula_sum 'Ga1 Ni2 Pt1'
_cell_length_a 4.493
_cell_length_b 4.493
_cell_length_c 4.493
_cell_angle_alpha 130.24
_cell_angle_beta 130.24
_cell_angle_gamma 73.02
_space_group_name_H-M_alt 'P 1'
_space_group_IT_number 1
loop_
_space_group_symop_operation_xyz
'x,y,z'
loop_
_atom_site_label
_atom_site_type_symbol
_atom_site_fract_x
_atom_site_fract_y
_atom_site_fract_z
Ga1 Ga 0.000 0.000 0.000
Ni1 Ni 0.250 0.750 0.500
Ni2 Ni 0.500 0.500 0.000
Pt1 Pt 0.750 0.250 0.500
```

Calculated values
The value obtained for the density of states at the Fermi level is 1.473 states/eV per atom. As for the formation enthalpy at 0 K: -0.362 eV/atom. The space group is I-4m2.

# 12
First-principles (GGA-PBE) data for a geometry-optimized Ta2ZnHg structure, as listed in Alexandria.

Geometry as CIF:
```
data_Ta2ZnHg
_chemical_formula_sum 'Ta2 Zn1 Hg1'
_cell_length_a 9.886
_cell_length_b 9.886
_cell_length_c 9.886
_cell_angle_alpha 17.13
_cell_angle_beta 17.13
_cell_angle_gamma 17.13
_space_group_name_H-M_alt 'P 1'
_space_group_IT_number 1
loop_
_space_group_symop_operation_xyz
'x,y,z'
loop_
_atom_site_label
_atom_site_type_symbol
_atom_site_fract_x
_atom_site_fract_y
_atom_site_fract_z
Ta1 Ta 0.246 0.246 0.246
Ta2 Ta 0.754 0.754 0.754
Zn1 Zn 0.500 0.500 0.500
Hg1 Hg 0.000 0.000 0.000
```

Calculated values
The calculation puts the excess energy over the best structure of this formula in the dataset at 183 meV/atom. The value obtained for the density of states at the Fermi level is 1.469 states/eV per atom. As for the formation enthalpy at 0 K: 0.317 eV/atom. The space group is R-3m.

Repeat the first record exactly.
First-principles (GGA-PBE) data for a geometry-optimized LiMnGe2 structure, as listed in Alexandria.

Geometry as CIF:
```
data_LiMnGe2
_chemical_formula_sum 'Li1 Mn1 Ge2'
_cell_length_a 4.576
_cell_length_b 4.576
_cell_length_c 2.894
_cell_angle_alpha 90.00
_cell_angle_beta 90.00
_cell_angle_gamma 90.00
_space_group_name_H-M_alt 'P 1'
_space_group_IT_number 1
loop_
_space_group_symop_operation_xyz
'x,y,z'
loop_
_atom_site_label
_atom_site_type_symbol
_atom_site_fract_x
_atom_site_fract_y
_atom_site_fract_z
Li1 Li 0.000 0.000 0.000
Mn1 Mn 0.500 0.500 0.000
Ge1 Ge 0.000 0.500 0.500
Ge2 Ge 0.500 0.000 0.500
```

Calculated values
The calculation puts the excess energy over the best structure of this formula in the dataset at 102 meV/atom. The value obtained for the density of states at the Fermi level is 0.500 states/eV per atom. As for the formation enthalpy at 0 K: -0.023 eV/atom. The space group is P4/mmm.